The following is a DFT calculation (GGA-PBE) of a relaxed La2VAgPd crystal.

Cell: 5.508 5.508 5.119 Å, 90.00 90.00 90.00°
Space group P4/mmm (No. 123)
Inequivalent atoms, fractional coordinates:
La 0.000 0.500 0.000
V 0.000 0.000 0.500
Ag 0.500 0.500 0.500
Pd 0.500 0.500 0.000

Results
The density of states at the Fermi level is 5.171 states/eV per cell. The formation energy is 170 kJ/mol of formula units.